Compound: Pr7Tl2Cu2
Source: Alexandria
Functional: PBE
Structure: optimized geometry

Calculated values
The calculation puts the density at 7.15 g/cm3. Its space group is Cmmm (65). As for the energy of formation: -0.0245 eV/atom.

a b c (Å): 7.1471 7.1471 7.3131
angles (deg): 90.00 90.00 108.96
Closest atoms and distances in Å follow each position.
Atoms (fractional coordinates):
Pr: 0.0000 0.0000 0.0000  2 Cu 3.38
Pr: 0.0000 0.5000 0.2581  2 Cu 2.84
Pr: 0.0000 0.5000 0.7419  2 Cu 2.84
Pr: 0.5000 0.0000 0.2581  2 Cu 2.84
Pr: 0.5000 0.0000 0.7419  2 Cu 2.84
Pr: 0.5000 0.5000 0.2382  2 Cu 3.00, 2 Tl 3.30
Pr: 0.5000 0.5000 0.7618  2 Cu 3.00, 2 Tl 3.30
Tl: 0.1759 0.1759 0.5000  1 Tl 2.92
Tl: 0.8241 0.8241 0.5000  1 Tl 2.92
Cu: 0.2902 0.7098 0.0000  6 Pr 2.84-3.00
Cu: 0.7098 0.2902 0.0000  6 Pr 2.84-3.00